VASP calculation (PBE-GGA) on an optimized crystal structure of TaCr2HOs.

abc: 3.8625 3.8625 3.9249
angles: 90.00 90.00 90.00
With the nearest neighbours (Å) after each atom.
Space group P4/mmm (No. 123)
Unique sites:
Ta1 0.0000 0.0000 0.0000 x1  4 Os 2.73, 8 Cr 2.75
Cr1 0.0000 0.5000 0.5000 x2  2 H 1.93
H1 0.5000 0.5000 0.5000 x1  4 Cr 1.93, 2 Os 1.96
Os1 0.5000 0.5000 0.0000 x1  2 H 1.96

Summary:
The excess energy over the best structure of this formula in the dataset is 14 kJ/mol of formula units.